DFT (PBE-GGA) results for an optimized crystal structure of TaMo6.

Cell lengths 3.1838, 3.1838, 22.2980 Å; angles 90.00, 90.00, 90.00 degrees
Space group I4/mmm (No. 139)
Symmetry-distinct sites (fractional):
Ta 0.0000 0.0000 0.0000
Mo 0.0000 0.0000 0.1432
Mo 0.0000 0.0000 0.2845
Mo 0.0000 0.0000 0.4259

Values from the calculation:
formation energy	-0.0961	eV per atom